# RbTl2CdAu

A relaxed RbTl2CdAu crystal (PBE, Alexandria via LeMat-Bulk).

POSCAR file:
```
RbTl2CdAu
1.0
-3.4476 1.8804 -4.1164
-3.1697 -4.6968 0.5092
-3.1158 2.5100 3.7563
Tl Au Rb Cd
2 1 1 1
Direct
0.0000 0.5000 0.0000
0.5000 0.0000 0.0000
0.0000 0.0000 0.0000
0.5000 0.5000 0.5000
0.0000 0.0000 0.5000
```

Calculated values
Magnetic moment (μB/cell): 0.0
Formation energy (meV/atom): -15

---

# CaTa2Ni

A relaxed CaTa2Ni crystal (PBE, Alexandria via LeMat-Bulk).

POSCAR file:
```
CaTa2Ni
1.0
5.0162 0.0000 0.0000
0.0000 3.8949 0.0000
0.0000 0.0000 3.8949
Ni Ca Ta
1 1 2
Direct
0.5000 0.0000 0.5000
0.5000 0.5000 0.0000
0.0000 0.0000 0.0000
0.0000 0.5000 0.5000
```

Calculated values
Offset from the most stable computed form (meV/atom): 391
Magnetic moment (μB/cell): 0.0
Formation energy (meV/atom): 597

---

# Dy8Cu3Bi2

A relaxed Dy8Cu3Bi2 crystal (PBE, Alexandria via LeMat-Bulk).

POSCAR file:
```
Dy8Cu3Bi2
1.0
-4.6002 1.6148 -3.8770
-4.8521 -3.3860 4.3468
1.9818 8.3176 2.4909
Dy Cu Bi
8 3 2
Direct
0.8456 0.5709 0.1418
0.1544 0.4291 0.8582
0.8456 0.1514 0.3029
0.1544 0.8486 0.6971
0.6466 0.6339 0.7882
0.6466 0.1543 0.7882
0.3534 0.8457 0.2118
0.3534 0.3661 0.2118
0.5000 0.0000 0.0000
0.0000 0.1639 0.0000
0.0000 0.8361 0.0000
0.3333 0.2601 0.5202
0.6667 0.7399 0.4798
```

Calculated values
Magnetic moment (μB/cell): 0.0
Formation energy (meV/atom): -195

---

# SrFeI

A relaxed SrFeI crystal (PBE, Alexandria via LeMat-Bulk).

POSCAR file:
```
SrFeI
1.0
4.2058 0.0000 0.0000
-2.1029 3.6423 0.0000
0.0000 0.0000 12.0479
I Sr Fe
2 2 2
Direct
0.3333 0.6667 0.4763
0.0000 0.0000 0.1009
0.6667 0.3333 0.7058
0.6667 0.3333 0.2808
0.0000 0.0000 0.8754
0.3333 0.6667 0.8767
```

Calculated values
Formation energy (no corrections) (eV/atom): -0.26
Magnetic moment (μB/cell): 4.4

---

# Li8Mg2Cd3

A relaxed Li8Mg2Cd3 crystal (PBE, Alexandria via LeMat-Bulk).

POSCAR file:
```
Li8Mg2Cd3
1.0
5.6510 0.0000 0.0291
0.0000 7.5766 0.0000
-2.2236 -3.7883 6.4491
Li Mg Cd
8 2 3
Direct
0.1908 0.6061 0.2123
0.8092 0.3939 0.7877
0.9194 0.2000 0.4000
0.0806 0.8000 0.6000
0.3285 0.5696 0.7675
0.3285 0.1979 0.7675
0.6715 0.8021 0.2325
0.6715 0.4304 0.2325
0.3992 0.1951 0.3902
0.6008 0.8049 0.6098
0.5000 0.0000 0.0000
0.0000 0.1930 0.0000
0.0000 0.8070 0.0000
```

Calculated values
Offset from the most stable computed form (meV/atom): 8
Magnetic moment (μB/cell): 0.0
Formation energy (meV/atom): -28

---

# LiAsSCl2

A relaxed LiAsSCl2 crystal (PBE, Alexandria via LeMat-Bulk).

POSCAR file:
```
LiAsSCl2
1.0
-0.2517 4.0215 1.8142
-1.8594 1.5511 -3.6965
-4.4460 -1.0823 1.7823
As Li S Cl
1 1 1 2
Direct
0.5000 0.5000 0.5000
0.0000 0.0000 0.0000
0.0000 0.0000 0.5000
0.0000 0.5000 0.0000
0.5000 0.0000 0.0000
```

Calculated values
Formation energy (no corrections) (eV/atom): 0.00
Offset from the most stable computed form (meV/atom): 476
Magnetic moment (μB/cell): 0.0

---

# NdGdScCd

A relaxed NdGdScCd crystal (PBE, Alexandria via LeMat-Bulk).

POSCAR file:
```
NdGdScCd
1.0
5.4232 0.0000 0.0000
2.7116 4.6967 0.0000
2.7116 1.5656 4.4281
Sc Gd Nd Cd
1 1 1 1
Direct
0.2500 0.2500 0.2500
0.5000 0.5000 0.5000
0.0000 0.0000 0.0000
0.7500 0.7500 0.7500
```

Calculated values
Magnetic moment (μB/cell): 7.7
Formation energy (meV/atom): -58

---

# Cs3Dy3ScSe8

A relaxed Cs3Dy3ScSe8 crystal (PBE, Alexandria via LeMat-Bulk).

POSCAR file:
```
Cs3Dy3ScSe8
1.0
8.2748 0.0000 0.0000
-4.1374 7.1692 -0.0329
0.0000 -4.7504 8.6015
Cs Dy Sc Se
3 3 1 8
Direct
0.0000 0.0000 0.0000
0.0000 0.5000 0.0000
0.5000 0.5000 0.0000
0.5000 0.0000 0.5000
0.5000 0.5000 0.5000
0.0000 0.5000 0.5000
0.0000 0.0000 0.5000
0.2710 0.5421 0.3135
0.7290 0.4579 0.6865
0.7790 0.5580 0.3203
0.2210 0.4420 0.6797
0.7791 0.0408 0.3204
0.2209 0.9592 0.6796
0.2618 0.0408 0.3204
0.7382 0.9592 0.6796
```

Calculated values
Formation energy (no corrections) (eV/atom): -1.63
Magnetic moment (μB/cell): 0.0

---

# TcGeN2F

A relaxed TcGeN2F crystal (PBE, Alexandria via LeMat-Bulk).

POSCAR file:
```
TcGeN2F
1.0
-0.9214 -3.7552 0.0146
0.3016 -0.0590 3.8544
-3.6429 0.8951 0.2987
Ge N Tc F
1 2 1 1
Direct
0.0000 0.0000 0.0000
0.0000 0.5000 0.0000
0.5000 0.0000 0.0000
0.5000 0.5000 0.5000
0.0000 0.0000 0.5000
```

Calculated values
Formation energy (no corrections) (eV/atom): 0.66
Offset from the most stable computed form (meV/atom): 520
Magnetic moment (μB/cell): 3.7

---

# Li2DyEr2In5

A relaxed Li2DyEr2In5 crystal (PBE, Alexandria via LeMat-Bulk).

POSCAR file:
```
Li2DyEr2In5
1.0
-3.9682 -1.4277 -1.2017
3.8598 -9.4226 -1.5506
-2.0772 -2.4609 9.7835
Li Dy Er In
4 2 4 10
Direct
0.0000 0.1201 0.6201
0.0000 0.8799 0.3799
0.0000 0.6201 0.8799
0.0000 0.3799 0.1201
0.0000 0.0000 0.0000
0.0000 0.5000 0.5000
0.0000 0.6744 0.1744
0.0000 0.3256 0.8256
0.0000 0.1744 0.3256
0.0000 0.8256 0.6744
0.5000 0.2118 0.0753
0.5000 0.7882 0.9247
0.5000 0.0753 0.7882
0.5000 0.7118 0.4247
0.5000 0.9247 0.2118
0.5000 0.2882 0.5753
0.5000 0.5753 0.7118
0.5000 0.4247 0.2882
0.5000 0.5000 0.0000
0.5000 0.0000 0.5000
```

Calculated values
Magnetic moment (μB/cell): 0.0
Formation energy (meV/atom): -355

---

# ZrInNiAg

A relaxed ZrInNiAg crystal (PBE, Alexandria via LeMat-Bulk).

POSCAR file:
```
ZrInNiAg
1.0
4.6573 0.0000 0.0000
2.3287 4.0333 0.0000
2.3287 1.3444 3.8027
Ni Zr Ag In
1 1 1 1
Direct
0.7500 0.7500 0.7500
0.0000 0.0000 0.0000
0.2500 0.2500 0.2500
0.5000 0.5000 0.5000
```

Calculated values
Magnetic moment (μB/cell): 0.0
Formation energy (meV/atom): -223

---

# Pr4Nd2Hg3N2

A relaxed Pr4Nd2Hg3N2 crystal (PBE, Alexandria via LeMat-Bulk).

POSCAR file:
```
Pr4Nd2Hg3N2
1.0
-3.2470 2.3069 2.9288
0.7863 -3.3727 3.5284
10.4806 7.5972 1.4625
Pr Nd Hg N
4 2 3 2
Direct
0.4134 0.9134 0.8268
0.9134 0.4134 0.8268
0.0866 0.5866 0.1732
0.5866 0.0866 0.1732
0.3011 0.3011 0.6021
0.6989 0.6989 0.3979
0.0000 0.0000 0.0000
0.1745 0.1745 0.3491
0.8255 0.8255 0.6509
0.3914 0.3914 0.7827
0.6086 0.6086 0.2173
```

Calculated values
Formation energy (no corrections) (eV/atom): -0.64
Magnetic moment (μB/cell): 0.0